A relaxed In3Pb2Br7 crystal. Source: the Alexandria database, functional PBE.

```
In3Pb2Br7
1.0
8.549 0.000 0.000
0.000 7.395 -2.091
0.000 0.115 14.527
Br In Pb
14 6 4
direct
0.555 0.449 0.746 Br
0.709 0.336 0.407 Br
0.929 0.999 0.154 Br
0.929 0.844 0.846 Br
0.555 0.704 0.254 Br
0.055 0.551 0.254 Br
0.209 0.664 0.593 Br
0.297 0.609 0.000 Br
0.797 0.391 0.000 Br
0.429 0.156 0.154 Br
0.209 0.071 0.407 Br
0.709 0.929 0.593 Br
0.055 0.296 0.746 Br
0.429 0.001 0.846 Br
0.162 0.225 0.000 In
0.841 0.941 0.381 In
0.341 0.440 0.381 In
0.662 0.775 0.000 In
0.841 0.560 0.619 In
0.341 0.059 0.619 In
0.246 0.851 0.205 Pb
0.246 0.647 0.795 Pb
0.746 0.149 0.795 Pb
0.746 0.353 0.205 Pb
```

total DFT energy (no corrections)	-3.06	eV/atom
space group	No. 36
total moment	0.000	μB/atom